! BeTcBOs (PBE-GGA, relaxed); values from VASP
! Fermi-level density of states: 5.15 states/eV/cell
! total moment: 0.00 Bohr magnetons per cell
! SG: No. 38
! energy of formation from the pure elements: -0.174 eV/atom
! electronic total energy: -32.70 eV/f.u.
&SYSTEM
  ibrav = 0, nat = 8, ntyp = 4
/
ATOMIC_SPECIES
Be 9.01 Be.upf
Tc 98.00 Tc.upf
B 10.81 B.upf
Os 190.23 Os.upf
ATOMIC_POSITIONS angstrom
Be 0.000 0.000 0.000
Be 0.000 1.438 4.072
Tc 1.782 0.000 3.490
Tc 1.782 1.438 7.562
B 1.782 0.000 1.186
B 1.782 1.438 5.258
Os 0.000 0.000 5.836
Os 0.000 1.438 1.765
CELL_PARAMETERS angstrom
3.564 0.000 0.000
0.000 2.876 0.000
0.000 0.000 8.143